(1)
First-principles (PBE) data for a relaxed BaCaTi2O crystal, as listed in the Alexandria database.

Computed properties:
Its formation energy from raw total energies is 0.976 eV/atom. Its calculated density is 3.10 g/cm³. The energy comes out at -3.96 eV/atom. As for the symmetry: P4/mmm, No. 123. The total magnetization is 0.959 μB/atom.

Cell: 5.7644 5.7644 4.6554 Å, 90.00 90.00 90.00°
Positions (direct):
Ba: 0.0000 0.0000 0.0000
Ca: 0.5000 0.5000 0.5000
Ti: 0.0000 0.5000 0.0000
Ti: 0.5000 0.0000 0.0000
O: 0.0000 0.0000 0.5000

=====

(2)
First-principles (PBE) data for a relaxed Ba4CaTi5O15 crystal, as listed in the Alexandria database.

Computed properties:
Its formation energy from raw total energies is -3.058 eV/atom. Its calculated density is 5.52 g/cm³. The energy comes out at -8.00 eV/atom. As for the symmetry: P4/mmm, No. 123. The total magnetization is 0.000 μB/atom.

Cell: 4.0066 4.0066 20.0265 Å, 90.00 90.00 90.00°
Positions (direct):
Ba: 0.0000 0.0000 0.1012
Ba: 0.0000 0.0000 0.3040
Ba: 0.0000 0.0000 0.6960
Ba: 0.0000 0.0000 0.8988
Ca: 0.0000 0.0000 0.5000
Ti: 0.5000 0.5000 0.0000
Ti: 0.5000 0.5000 0.2024
Ti: 0.5000 0.5000 0.4050
Ti: 0.5000 0.5000 0.5950
Ti: 0.5000 0.5000 0.7976
O: 0.0000 0.5000 0.0000
O: 0.0000 0.5000 0.2027
O: 0.0000 0.5000 0.4077
O: 0.0000 0.5000 0.5923
O: 0.0000 0.5000 0.7973
O: 0.5000 0.0000 0.0000
O: 0.5000 0.0000 0.2027
O: 0.5000 0.0000 0.4077
O: 0.5000 0.0000 0.5923
O: 0.5000 0.0000 0.7973
O: 0.5000 0.5000 0.1013
O: 0.5000 0.5000 0.3036
O: 0.5000 0.5000 0.5000
O: 0.5000 0.5000 0.6964
O: 0.5000 0.5000 0.8987

=====

Please write out number 1 again, unchanged.
First-principles (PBE) data for a relaxed BaCaTi2O crystal, as listed in the Alexandria database.

Computed properties:
Its formation energy from raw total energies is 0.976 eV/atom. Its calculated density is 3.10 g/cm³. The energy comes out at -3.96 eV/atom. As for the symmetry: P4/mmm, No. 123. The total magnetization is 0.959 μB/atom.

Cell: 5.7644 5.7644 4.6554 Å, 90.00 90.00 90.00°
Positions (direct):
Ba: 0.0000 0.0000 0.0000
Ca: 0.5000 0.5000 0.5000
Ti: 0.0000 0.5000 0.0000
Ti: 0.5000 0.0000 0.0000
O: 0.0000 0.0000 0.5000

=====

Question: Which of these has the highest formation energy from raw total energies?
Answer: BaCaTi2O